(1)
The following is a PBE calculation of a geometry-optimized BaMgHg2Au4 structure, from the Alexandria database.

POSCAR file:
```
BaMgHg2Au4
1.0
2.411 1.392 9.485
-2.411 1.392 9.485
0.000 -2.784 9.485
Ba Mg Hg Au
1 1 2 4
Direct
0.000 0.000 0.000
0.500 0.500 0.500
0.246 0.246 0.246
0.754 0.754 0.754
0.141 0.141 0.141
0.402 0.402 0.402
0.598 0.598 0.598
0.859 0.859 0.859
```

Properties
DFT total energy: -2.52 eV per atom
formation enthalpy at 0 K: -2.95 eV per formula unit
total moment: 0.000 Bohr magnetons per cell



(2)
The following is a PBE calculation of a geometry-optimized ScBe2Tc structure, from the Alexandria database.

POSCAR file:
```
ScBe2Tc
1.0
3.805 0.000 0.000
0.000 3.805 0.000
0.000 0.000 7.110
Sc Be Tc
2 4 2
Direct
0.000 0.000 0.000
0.500 0.500 0.500
0.000 0.500 0.250
0.000 0.500 0.750
0.500 0.000 0.250
0.500 0.000 0.750
0.000 0.000 0.500
0.500 0.500 0.000
```

Properties
DFT total energy: -6.18 eV per atom
formation enthalpy at 0 K: -0.58 eV per formula unit
total moment: 0.000 Bohr magnetons per cell



(3)
The following is a PBE calculation of a geometry-optimized La2TaAu structure, from the Alexandria database.

POSCAR file:
```
La2TaAu
1.0
3.510 0.000 0.000
-1.755 3.040 0.000
0.000 0.000 29.950
La Ta Au
6 3 3
Direct
0.000 0.000 0.249
0.000 0.000 0.751
0.333 0.667 0.418
0.333 0.667 0.916
0.667 0.333 0.084
0.667 0.333 0.582
0.000 0.000 0.000
0.333 0.667 0.667
0.667 0.333 0.333
0.000 0.000 0.500
0.333 0.667 0.167
0.667 0.333 0.833
```

Properties
DFT total energy: -6.05 eV per atom
formation enthalpy at 0 K: 0.80 eV per formula unit
total moment: 0.000 Bohr magnetons per cell



(4)
The following is a PBE calculation of a geometry-optimized CdPBr structure, from the Alexandria database.

POSCAR file:
```
CdPBr
1.0
3.862 0.000 0.000
0.000 3.862 0.000
0.000 0.000 11.397
Cd P Br
2 2 2
Direct
0.000 0.000 0.000
0.500 0.500 0.500
0.000 0.000 0.519
0.500 0.500 0.019
0.000 0.000 0.724
0.500 0.500 0.224
```

Properties
DFT total energy: -2.63 eV per atom
total moment: 0.000 Bohr magnetons per cell
raw formation energy: 0.041 eV per atom



(5)
The following is a PBE calculation of a geometry-optimized BeAsRh2F structure, from the Alexandria database.

POSCAR file:
```
BeAsRh2F
1.0
4.722 0.000 0.000
0.000 4.722 0.000
0.000 0.000 3.006
Be As Rh F
1 1 2 1
Direct
0.000 0.000 0.000
0.500 0.500 0.000
0.000 0.500 0.500
0.500 0.000 0.500
0.000 0.000 0.500
```

Properties
DFT total energy: -5.13 eV per atom
total moment: 0.000 Bohr magnetons per cell
raw formation energy: -0.143 eV per atom



(6)
The following is a PBE calculation of a geometry-optimized ScP2Ir structure, from the Alexandria database.

POSCAR file:
```
ScP2Ir
1.0
8.543 0.000 0.000
0.000 3.368 0.000
-1.194 0.000 4.357
Sc P Ir
2 4 2
Direct
0.000 0.000 0.000
0.500 0.500 0.000
0.253 0.000 0.786
0.499 0.000 0.505
0.753 0.500 0.786
0.999 0.500 0.505
0.273 0.500 0.403
0.773 0.000 0.403
```

Properties
DFT total energy: -7.11 eV per atom
formation enthalpy at 0 K: -2.42 eV per formula unit
total moment: 0.000 Bohr magnetons per cell



(7)
The following is a PBE calculation of a geometry-optimized PmZrIn2 structure, from the Alexandria database.

POSCAR file:
```
PmZrIn2
1.0
4.758 0.000 0.000
0.000 4.758 0.000
0.000 0.000 4.439
Pm Zr In
1 1 2
Direct
0.000 0.000 0.000
0.500 0.500 0.000
0.000 0.500 0.500
0.500 0.000 0.500
```

Properties
DFT total energy: -4.99 eV per atom
formation enthalpy at 0 K: -1.19 eV per formula unit
total moment: 0.146 Bohr magnetons per cell



(8)
The following is a PBE calculation of a geometry-optimized Cs8Rb5O structure, from the Alexandria database.

POSCAR file:
```
Cs8Rb5O
1.0
-6.510 6.510 8.562
6.510 -6.510 8.562
6.510 6.510 -8.562
Cs Rb O
8 5 1
Direct
0.029 0.556 0.268
0.054 0.312 0.622
0.238 0.971 0.527
0.289 0.762 0.732
0.444 0.711 0.473
0.568 0.946 0.259
0.688 0.310 0.741
0.690 0.432 0.378
0.025 0.743 0.963
0.257 0.220 0.282
0.500 0.500 0.000
0.780 0.062 0.037
0.938 0.975 0.718
0.250 0.750 0.500
```

Properties
DFT total energy: -1.37 eV per atom
total moment: 0.000 Bohr magnetons per cell
raw formation energy: -0.183 eV per atom



(9)
The following is a PBE calculation of a geometry-optimized SnSbPd structure, from the Alexandria database.

POSCAR file:
```
SnSbPd
1.0
0.000 4.811 6.625
4.497 0.000 6.625
4.497 4.811 0.000
Sn Sb Pd
4 4 4
Direct
0.001 0.001 0.749
0.251 0.251 0.999
0.749 0.749 0.001
0.999 0.999 0.251
0.242 0.242 0.508
0.492 0.492 0.758
0.508 0.508 0.242
0.758 0.758 0.492
0.129 0.621 0.621
0.379 0.871 0.871
0.621 0.129 0.129
0.871 0.379 0.379
```

Properties
DFT total energy: -4.76 eV per atom
total moment: 0.000 Bohr magnetons per cell
raw formation energy: -0.323 eV per atom



(10)
The following is a PBE calculation of a geometry-optimized AlSbTe2Ir structure, from the Alexandria database.

POSCAR file:
```
AlSbTe2Ir
1.0
5.119 0.000 0.000
0.000 5.119 0.000
0.000 0.000 5.065
Al Sb Te Ir
1 1 2 1
Direct
0.000 0.000 0.000
0.000 0.000 0.500
0.000 0.500 0.000
0.500 0.000 0.000
0.500 0.500 0.500
```

Properties
DFT total energy: -3.49 eV per atom
total moment: 0.000 Bohr magnetons per cell
raw formation energy: 1.114 eV per atom



(11)
The following is a PBE calculation of a geometry-optimized EuHo2In structure, from the Alexandria database.

POSCAR file:
```
EuHo2In
1.0
7.763 0.000 0.000
0.000 7.763 0.000
0.000 0.000 7.763
Eu Ho In
4 8 4
Direct
0.000 0.000 0.000
0.000 0.500 0.500
0.500 0.000 0.500
0.500 0.500 0.000
0.250 0.250 0.250
0.250 0.250 0.750
0.250 0.750 0.250
0.250 0.750 0.750
0.750 0.250 0.250
0.750 0.250 0.750
0.750 0.750 0.250
0.750 0.750 0.750
0.000 0.000 0.500
0.000 0.500 0.000
0.500 0.000 0.000
0.500 0.500 0.500
```

Properties
DFT total energy: -5.65 eV per atom
formation enthalpy at 0 K: -0.43 eV per formula unit
total moment: 29.857 Bohr magnetons per cell



(12)
The following is a PBE calculation of a geometry-optimized Mg8Tl2Ir structure, from the Alexandria database.

POSCAR file:
```
Mg8Tl2Ir
1.0
7.951 -2.368 0.000
7.951 2.368 0.000
-2.906 0.000 6.362
Mg Tl Ir
8 2 1
Direct
0.012 0.012 0.293
0.176 0.176 0.713
0.355 0.355 0.596
0.387 0.387 0.098
0.613 0.613 0.902
0.645 0.645 0.404
0.824 0.824 0.287
0.988 0.988 0.707
0.183 0.183 0.175
0.817 0.817 0.825
0.500 0.500 0.500
```

Properties
DFT total energy: -2.52 eV per atom
formation enthalpy at 0 K: -1.39 eV per formula unit
total moment: 0.000 Bohr magnetons per cell



(13)
The following is a PBE calculation of a geometry-optimized CsCe2S4 structure, from the Alexandria database.

POSCAR file:
```
CsCe2S4
1.0
-4.369 4.369 6.191
4.369 -4.369 6.191
4.369 4.369 -6.191
Cs Ce S
2 4 8
Direct
0.375 0.625 0.750
0.625 0.375 0.250
0.000 0.000 0.000
0.000 0.000 0.500
0.000 0.500 0.000
0.500 0.000 0.500
0.175 0.225 0.950
0.225 0.175 0.450
0.225 0.774 0.050
0.226 0.775 0.450
0.774 0.225 0.550
0.775 0.226 0.950
0.775 0.825 0.550
0.825 0.775 0.050
```

Properties
DFT total energy: -5.92 eV per atom
total moment: 2.067 Bohr magnetons per cell
raw formation energy: -1.744 eV per atom



(14)
The following is a PBE calculation of a geometry-optimized Sr2SbPb structure, from the Alexandria database.

POSCAR file:
```
Sr2SbPb
1.0
8.189 0.000 0.000
0.000 8.189 0.000
0.000 0.000 8.189
Sr Sb Pb
8 4 4
Direct
0.250 0.250 0.250
0.250 0.250 0.750
0.250 0.750 0.250
0.250 0.750 0.750
0.750 0.250 0.250
0.750 0.250 0.750
0.750 0.750 0.250
0.750 0.750 0.750
0.000 0.000 0.000
0.000 0.500 0.500
0.500 0.000 0.500
0.500 0.500 0.000
0.000 0.000 0.500
0.000 0.500 0.000
0.500 0.000 0.000
0.500 0.500 0.500
```

Properties
DFT total energy: -3.43 eV per atom
total moment: 0.000 Bohr magnetons per cell
raw formation energy: -0.628 eV per atom



(15)
The following is a PBE calculation of a geometry-optimized Er3TmSc2S6 structure, from the Alexandria database.

POSCAR file:
```
Er3TmSc2S6
1.0
3.288 -5.717 0.000
3.288 5.717 0.000
-2.196 0.000 6.218
Er Tm Sc S
3 1 2 6
Direct
0.000 0.000 0.000
0.335 0.665 0.000
0.665 0.335 0.000
0.500 0.500 0.500
0.167 0.833 0.500
0.833 0.167 0.500
0.080 0.419 0.258
0.241 0.241 0.740
0.419 0.080 0.258
0.581 0.920 0.742
0.759 0.759 0.260
0.920 0.581 0.742
```

Properties
DFT total energy: -6.55 eV per atom
total moment: 0.000 Bohr magnetons per cell
raw formation energy: -1.919 eV per atom



(16)
The following is a PBE calculation of a geometry-optimized BaLa2Se structure, from the Alexandria database.

POSCAR file:
```
BaLa2Se
1.0
4.900 0.000 0.000
0.000 4.900 0.000
0.000 0.000 5.213
Ba La Se
1 2 1
Direct
0.000 0.000 0.000
0.000 0.500 0.500
0.500 0.000 0.500
0.500 0.500 0.000
```

Properties
DFT total energy: -4.27 eV per atom
total moment: 0.000 Bohr magnetons per cell
raw formation energy: -0.454 eV per atom



(17)
The following is a PBE calculation of a geometry-optimized Dy6Ag5Sn structure, from the Alexandria database.

POSCAR file:
```
Dy6Ag5Sn
1.0
5.169 0.000 0.000
0.000 7.332 0.000
-2.576 0.000 7.773
Dy Ag Sn
6 5 1
Direct
0.000 0.245 0.000
0.000 0.755 0.000
0.331 0.246 0.662
0.331 0.754 0.662
0.669 0.246 0.338
0.669 0.754 0.338
0.166 0.000 0.332
0.168 0.500 0.335
0.500 0.000 0.000
0.832 0.500 0.665
0.834 0.000 0.668
0.500 0.500 0.000
```

Properties
DFT total energy: -4.21 eV per atom
formation enthalpy at 0 K: -4.61 eV per formula unit
total moment: 0.000 Bohr magnetons per cell



(18)
The following is a PBE calculation of a geometry-optimized LiTl3Pd2 structure, from the Alexandria database.

POSCAR file:
```
LiTl3Pd2
1.0
4.734 0.000 0.000
0.000 13.943 0.000
0.000 0.000 3.616
Li Tl Pd
2 6 4
Direct
0.000 0.000 0.000
0.500 0.500 0.000
0.000 0.168 0.500
0.000 0.500 0.500
0.000 0.832 0.500
0.500 0.000 0.500
0.500 0.332 0.500
0.500 0.668 0.500
0.000 0.334 0.000
0.000 0.666 0.000
0.500 0.166 0.000
0.500 0.834 0.000
```

Properties
DFT total energy: -3.40 eV per atom
formation enthalpy at 0 K: -0.97 eV per formula unit
total moment: 0.000 Bohr magnetons per cell



(19)
The following is a PBE calculation of a geometry-optimized LiMg2GaNi structure, from the Alexandria database.

POSCAR file:
```
LiMg2GaNi
1.0
4.822 0.000 0.000
0.000 4.822 0.000
0.000 0.000 4.535
Li Mg Ga Ni
1 2 1 1
Direct
0.000 0.000 0.000
0.000 0.500 0.500
0.500 0.000 0.500
0.500 0.500 0.000
0.500 0.500 0.500
```

Properties
DFT total energy: -2.87 eV per atom
formation enthalpy at 0 K: -0.42 eV per formula unit
total moment: 0.000 Bohr magnetons per cell



(20)
The following is a PBE calculation of a geometry-optimized Th2In8Fe structure, from the Alexandria database.

POSCAR file:
```
Th2In8Fe
1.0
4.707 0.000 0.000
0.000 4.707 0.000
0.000 0.000 12.412
Th In Fe
2 8 1
Direct
0.000 0.000 0.196
0.000 0.000 0.804
0.000 0.500 0.000
0.000 0.500 0.383
0.000 0.500 0.617
0.500 0.000 0.000
0.500 0.000 0.383
0.500 0.000 0.617
0.500 0.500 0.192
0.500 0.500 0.808
0.000 0.000 0.500
```

Properties
DFT total energy: -4.32 eV per atom
formation enthalpy at 0 K: -2.32 eV per formula unit
total moment: 1.170 Bohr magnetons per cell